[1]
Material: Ba2Mg12In5
Method: DFT, GGA-PBE
State: optimized geometry

The space group is R-3m (No. 166, hexagonal axes) and the conventional cell measures 10.6690, 10.6690 and 15.3338 Å, with angles of 90.00, 90.00 and 120.00 degrees. The inequivalent atoms are Ba at (0.0000, 0.0000, 0.1706), Mg at (0.0000, 0.2995, 0.5000), Mg at (0.0055, 0.5027, 0.6554), In at (0.0000, 0.0000, 0.4029) and In at (0.0000, 0.5000, 0.0000).

The value obtained for the energy of formation is -0.144 eV per atom.

---

[2]
Material: ThSi2Rh8
Method: DFT, GGA-PBE
State: optimized geometry

The space group is P4/mmm (No. 123) and the conventional cell measures 5.706, 5.706 and 5.853 Å, with angles of 90.00, 90.00 and 90.00 degrees. The inequivalent atoms are Th at (0.000, 0.000, 0.000), Si at (0.000, 0.500, 0.500) and Rh at (0.266, 0.266, 0.263).

The calculation puts the formation energy (no corrections) at -0.16 eV per atom.

---

[3]
Material: SmHgBi
Method: DFT, GGA-PBE
State: optimized geometry

The space group is P3m1 (No. 156) and the conventional cell measures 4.8526, 4.8526 and 4.3936 Å, with angles of 90.00, 90.00 and 120.00 degrees. The inequivalent atoms are Sm at (0.0000, 0.0000, 0.0000), Hg at (0.6667, 0.3333, 0.2793) and Bi at (0.3333, 0.6667, 0.5851).

The value obtained for the energy of formation is -0.509 eV per atom. As for the relative energy among the computed polymorphs: 0 meV/atom.

---

[4]
Material: PrDyZn
Method: DFT, GGA-PBE
State: optimized geometry

The space group is Pnma (No. 62) and the conventional cell measures 10.133, 5.036 and 7.117 Å, with angles of 90.00, 90.00 and 90.00 degrees. The inequivalent atoms are Pr at (0.133, 0.250, 0.004), Dy at (0.119, 0.250, 0.505) and Zn at (0.124, 0.750, 0.255).

The value obtained for the energy of formation is 0.031 eV per atom. As for the relative energy among the computed polymorphs: 230 meV/atom.

---

[5]
Material: Li2ScI6
Method: DFT, GGA-PBE
State: optimized geometry

The space group is C2/m (No. 12) and the conventional cell measures 14.016, 4.390 and 13.095 Å, with angles of 90.00, 120.23 and 90.00 degrees. The inequivalent atoms are Li at (0.129, 0.000, 0.210), Sc at (0.000, 0.000, 0.500), I at (0.039, 0.000, 0.733), I at (0.136, 0.500, 0.088) and I at (0.164, 0.500, 0.563).

The calculation puts the formation energy (no corrections) at -0.98 eV per atom.

---

[6]
Material: K5NaH6
Method: DFT, GGA-PBE
State: optimized geometry

The space group is C2/m (No. 12) and the conventional cell measures 6.745, 11.687 and 6.726 Å, with angles of 90.00, 109.40 and 90.00 degrees. The inequivalent atoms are K at (0.000, 0.000, 0.000), K at (0.000, 0.167, 0.500), K at (0.000, 0.336, 0.000), Na at (0.000, 0.500, 0.500), H at (0.234, 0.500, 0.267) and H at (0.239, 0.342, 0.743).

For the total energy, the calculation gives -29.246 eV per formula unit.

---

[7]
Material: Sr2Si2Ni
Method: DFT, GGA-PBE
State: optimized geometry

The space group is P4/mbm (No. 127) and the conventional cell measures 6.698, 6.698 and 4.961 Å, with angles of 90.00, 90.00 and 90.00 degrees. The inequivalent atoms are Sr at (0.170, 0.330, 0.000), Si at (0.136, 0.636, 0.500) and Ni at (0.000, 0.000, 0.500).

The calculation puts the formation energy (no corrections) at -0.18 eV per atom.

---

[8]
Material: Li5Zn6Ag
Method: DFT, GGA-PBE
State: optimized geometry

The space group is C2/m (No. 12) and the conventional cell measures 8.852, 11.509 and 3.981 Å, with angles of 90.00, 116.41 and 90.00 degrees. The inequivalent atoms are Li at (0.000, 0.000, 0.000), Li at (0.000, 0.166, 0.500), Li at (0.000, 0.334, 0.000), Zn at (0.248, 0.000, 0.747), Zn at (0.248, 0.169, 0.248) and Ag at (0.000, 0.500, 0.500).

The value obtained for the energy of formation is -0.159 eV per atom.

---

[9]
Material: SiAs2IrBr
Method: DFT, GGA-PBE
State: optimized geometry

The space group is P4/mmm (No. 123) and the conventional cell measures 4.733, 4.733 and 4.634 Å, with angles of 90.00, 90.00 and 90.00 degrees. The inequivalent atoms are Si at (0.000, 0.000, 0.000), As at (0.000, 0.500, 0.000), Ir at (0.500, 0.500, 0.500) and Br at (0.000, 0.000, 0.500).

The calculation puts the formation energy (no corrections) at 1.20 eV per atom. As for the relative energy among the computed polymorphs: 402 meV/atom.

---

[10]
Material: SiAs2Au
Method: DFT, GGA-PBE
State: optimized geometry

The space group is P4/mmm (No. 123) and the conventional cell measures 5.128, 5.128 and 2.808 Å, with angles of 90.00, 90.00 and 90.00 degrees. The inequivalent atoms are Si at (0.000, 0.000, 0.000), As at (0.000, 0.500, 0.500) and Au at (0.500, 0.500, 0.000).

The calculation puts the formation energy (no corrections) at 0.38 eV per atom.

---

[11]
Material: ZnHgO2F
Method: DFT, GGA-PBE
State: optimized geometry

The space group is P4/mmm (No. 123) and the conventional cell measures 4.202, 4.202 and 4.393 Å, with angles of 90.00, 90.00 and 90.00 degrees. The inequivalent atoms are Zn at (0.000, 0.000, 0.000), Hg at (0.500, 0.500, 0.500), O at (0.000, 0.500, 0.500) and F at (0.500, 0.500, 0.000).

The calculation puts the formation energy (no corrections) at -0.01 eV per atom.

---

[12]
Material: Sm3Bi2Se
Method: DFT, GGA-PBE
State: optimized geometry

The space group is C2/m (No. 12) and the conventional cell measures 7.699, 13.298 and 7.679 Å, with angles of 90.00, 109.48 and 90.00 degrees. The inequivalent atoms are Sm at (0.233, 0.000, 0.234), Sm at (0.248, 0.172, 0.758), Bi at (0.000, 0.000, 0.500), Bi at (0.000, 0.339, 0.500), Bi at (0.000, 0.500, 0.000) and Se at (0.000, 0.168, 0.000).

The calculation puts the formation energy (no corrections) at -1.21 eV per atom.

---

[13]
Material: YHo6Tm2
Method: DFT, GGA-PBE
State: optimized geometry

The space group is R3m (No. 160, hexagonal axes) and the conventional cell measures 6.9034, 6.9034 and 22.6350 Å, with angles of 90.00, 90.00 and 120.00 degrees. The inequivalent atoms are Y at (0.0000, 0.0000, 0.0000), Ho at (0.0066, 0.5033, 0.2225), Ho at (0.1696, 0.3392, 0.7766), Tm at (0.0000, 0.0000, 0.2474) and Tm at (0.0000, 0.0000, 0.4143).

The value obtained for the energy of formation is 0.406 eV per atom. As for the relative energy among the computed polymorphs: 383 meV/atom.

---

[14]
Material: Tc2SbBr
Method: DFT, GGA-PBE
State: optimized geometry

The space group is R-3m (No. 166, hexagonal axes) and the conventional cell measures 3.1397, 3.1397 and 24.7938 Å, with angles of 90.00, 90.00 and 120.00 degrees. The inequivalent atoms are Tc at (0.0000, 0.0000, 0.2491), Sb at (0.0000, 0.0000, 0.5000) and Br at (0.0000, 0.0000, 0.0000).

The calculation puts the formation energy (no corrections) at 0.53 eV per atom. As for the relative energy among the computed polymorphs: 430 meV/atom.

---

[15]
Material: TbLu2Te
Method: DFT, GGA-PBE
State: optimized geometry

The space group is R-3m (No. 166, hexagonal axes) and the conventional cell measures 3.7095, 3.7095 and 32.6838 Å, with angles of 90.00, 90.00 and 120.00 degrees. The inequivalent atoms are Tb at (0.0000, 0.0000, 0.0000), Lu at (0.0000, 0.0000, 0.1027) and Te at (0.0000, 0.0000, 0.5000).

The calculation puts the formation energy (no corrections) at -0.14 eV per atom. As for the relative energy among the computed polymorphs: 371 meV/atom.

---

[16]
Material: CdSn2Ge2
Method: DFT, GGA-PBE
State: optimized geometry

The space group is P4/mbm (No. 127) and the conventional cell measures 8.256, 8.256 and 3.544 Å, with angles of 90.00, 90.00 and 90.00 degrees. The inequivalent atoms are Cd at (0.000, 0.000, 0.000), Sn at (0.152, 0.348, 0.500) and Ge at (0.144, 0.644, 0.000).

The value obtained for the energy of formation is 0.194 eV per atom. As for the relative energy among the computed polymorphs: 22 meV/atom.

---

[17]
Material: K2ZnH5
Method: DFT, GGA-PBE
State: optimized geometry

The space group is I4mm (No. 107) and the conventional cell measures 5.711, 5.711 and 7.978 Å, with angles of 90.00, 90.00 and 90.00 degrees. The inequivalent atoms are K at (0.000, 0.500, 0.000), Zn at (0.000, 0.000, 0.283), H at (0.000, 0.000, 0.491) and H at (0.202, 0.202, 0.232).

For the total energy, the calculation gives -20.165 eV per formula unit.

---

[18]
Material: AcPr8Er6
Method: DFT, GGA-PBE
State: optimized geometry

The space group is P-3 (No. 147) and the conventional cell measures 9.5858, 9.5858 and 6.7096 Å, with angles of 90.00, 90.00 and 120.00 degrees. The inequivalent atoms are Ac at (0.0000, 0.0000, 0.0000), Pr at (0.0119, 0.3230, 0.6127), Pr at (0.3333, 0.6667, 0.3267) and Er at (0.0869, 0.6735, 0.8917).

The value obtained for the energy of formation is 0.202 eV per atom.

---

[19]
Material: TbErSnAu
Method: DFT, GGA-PBE
State: optimized geometry

The space group is F-43m (No. 216) and the conventional cell measures 7.365, 7.365 and 7.365 Å, with angles of 90.00, 90.00 and 90.00 degrees. The inequivalent atoms are Tb at (0.000, 0.000, 0.000), Er at (0.000, 0.000, 0.500), Sn at (0.250, 0.250, 0.250) and Au at (0.250, 0.250, 0.750).

The value obtained for the energy of formation is -0.710 eV per atom.

---

[20]
Material: LaTi2Sn
Method: DFT, GGA-PBE
State: optimized geometry

The space group is I-42d (No. 122) and the conventional cell measures 4.430, 4.430 and 19.964 Å, with angles of 90.00, 90.00 and 90.00 degrees. The inequivalent atoms are La at (0.000, 0.000, 0.000), Ti at (0.224, 0.250, 0.625) and Sn at (0.000, 0.000, 0.500).

The value obtained for the energy of formation is 0.238 eV per atom.

---

[21]
Material: Mg4AlIn7
Method: DFT, GGA-PBE
State: optimized geometry

The space group is P-3m1 (No. 164) and the conventional cell measures 3.3888, 3.3888 and 29.2373 Å, with angles of 90.00, 90.00 and 120.00 degrees. The inequivalent atoms are Mg at (0.3333, 0.6667, 0.1626), Mg at (0.3333, 0.6667, 0.4156), Al at (0.0000, 0.0000, 0.0000), In at (0.0000, 0.0000, 0.2453), In at (0.0000, 0.0000, 0.5000), In at (0.3333, 0.6667, 0.6676) and In at (0.3333, 0.6667, 0.9213).

The value obtained for the energy of formation is -0.005 eV per atom.

---

[22]
Material: AcYHg
Method: DFT, GGA-PBE
State: optimized geometry

The space group is R-3m (No. 166, hexagonal axes) and the conventional cell measures 5.2528, 5.2528 and 27.1140 Å, with angles of 90.00, 90.00 and 120.00 degrees. The inequivalent atoms are Ac at (0.0000, 0.0000, 0.1237), Y at (0.0000, 0.0000, 0.3716) and Hg at (0.0000, 0.0000, 0.2598).

The value obtained for the energy of formation is -0.109 eV per atom. As for the relative energy among the computed polymorphs: 226 meV/atom.

---

[23]
Material: BeHPb
Method: DFT, GGA-PBE
State: optimized geometry

The space group is P1 (No. 1) and the conventional cell measures 4.014, 5.211 and 5.219 Å, with angles of 107.53, 98.14 and 98.20 degrees. The inequivalent atoms are Be at (0.000, 0.000, 0.000), Be at (0.499, 0.904, 0.093), H at (0.326, 0.133, 0.170), H at (0.825, 0.073, 0.228), Pb at (0.439, 0.726, 0.530) and Pb at (0.938, 0.435, 0.823).

As for the relative energy among the computed polymorphs: 54 meV/atom.

---

[24]
Material: BaHgF3
Method: DFT, GGA-PBE
State: optimized geometry

The space group is C2/m (No. 12) and the conventional cell measures 14.604, 4.265 and 7.396 Å, with angles of 90.00, 112.42 and 90.00 degrees. The inequivalent atoms are Ba at (0.177, 0.000, 0.210), Hg at (0.051, 0.500, 0.683), F at (0.011, 0.000, 0.823), F at (0.173, 0.500, 0.969) and F at (0.226, 0.000, 0.609).

The calculation puts the formation energy (no corrections) at -2.72 eV per atom. As for the relative energy among the computed polymorphs: 0 meV/atom.